DFT (GGA-PBE) results for Tm5Rh2Pb2 after structural relaxation.

The structure in CIF format:
```
data_Tm5Rh2Pb2
_chemical_formula_sum 'Tm20 Rh8 Pb8'
_space_group_name_H-M_alt 'C m c e'
_space_group_IT_number 64
_space_group_name_Hall '-C 2ac 2'
_cell_length_a 15.4489
_cell_length_b 8.3199
_cell_length_c 7.1613
_cell_angle_alpha 90.00
_cell_angle_beta 90.00
_cell_angle_gamma 90.00
loop_
_atom_site_label
_atom_site_type_symbol
_atom_site_fract_x
_atom_site_fract_y
_atom_site_fract_z
Tm1 Tm 0.0000 0.0000 0.0000
Tm2 Tm 0.1168 0.1757 0.3511
Rh1 Rh 0.0000 0.1282 0.6418
Pb1 Pb 0.2138 0.0000 0.0000
```

**Energy relative to the elements**: -0.65 eV per atom

=====

DFT (GGA-PBE) results for YHoZnCu after structural relaxation.

The structure in CIF format:
```
data_YHoZnCu
_chemical_formula_sum 'Y4 Ho4 Zn4 Cu4'
_space_group_name_H-M_alt 'F -4 3 m'
_space_group_IT_number 216
_space_group_name_Hall 'F -4 2 3'
_cell_length_a 7.0342
_cell_length_b 7.0342
_cell_length_c 7.0342
_cell_angle_alpha 90.00
_cell_angle_beta 90.00
_cell_angle_gamma 90.00
loop_
_atom_site_label
_atom_site_type_symbol
_atom_site_fract_x
_atom_site_fract_y
_atom_site_fract_z
Y1 Y 0.0000 0.0000 0.0000
Ho1 Ho 0.0000 0.0000 0.5000
Zn1 Zn 0.2500 0.2500 0.7500
Cu1 Cu 0.2500 0.2500 0.2500
```

**Energy relative to the elements**: -0.29 eV per atom
**ΔE to the lowest computed polymorph**: 9 meV/atom